1.
PmTm2Ge: relaxed, PBE-GGA.

Computed properties:
* energy of formation from the pure elements: -0.312 eV/atom
* density: 9.0 g cm⁻³
* distance to the lowest polymorph of the same formula: 139.0 meV/atom
* raw total energy: -19.56 eV/cell

Cell: 4.6663 4.6782 4.6782 Å, 90.00 90.00 90.00°
Closest atoms and distances in Å follow each position.
Element x y z (fractional)
Tm: 0.0000 0.5000 0.0000  4 Ge 3.30, 4 Pm 3.30, 4 Tm 3.31
Tm: 0.0000 0.0000 0.5000  4 Ge 3.30, 4 Pm 3.30, 4 Tm 3.31
Pm: 0.5000 0.5000 0.5000  8 Tm 3.30, 4 Ge 3.31
Ge: 0.5000 0.0000 0.0000  8 Tm 3.30, 4 Pm 3.31

=====

2.
PmTmGe2: relaxed, PBE-GGA.

Computed properties:
* energy of formation from the pure elements: -0.684 eV/atom
* density: 7.7 g cm⁻³
* raw total energy: -21.19 eV/cell

Cell: 4.6287 4.6287 5.9592 Å, 67.15 67.15 60.00°
Closest atoms and distances in Å follow each position.
Element x y z (fractional)
Ge: 0.2420 0.2420 0.2740  3 Tm 2.93, 3 Pm 3.04
Ge: 0.7580 0.7580 0.7260  3 Tm 2.93, 3 Pm 3.04
Pm: 0.0000 0.0000 0.0000  6 Ge 3.04
Tm: 0.5000 0.5000 0.5000  6 Ge 2.93

=====

3.
Pm5Tm2Ge4: relaxed, PBE-GGA.

Computed properties:
* energy of formation from the pure elements: -0.283 eV/atom
* density: 6.8 g cm⁻³
* raw total energy: -54.27 eV/cell

Cell: 3.8178 8.2045 12.9397 Å, 123.49 98.48 90.00°
Closest atoms and distances in Å follow each position.
Element x y z (fractional)
Tm: 0.2672 0.1959 0.5344  1 Ge 2.82
Tm: 0.7328 0.8041 0.4656  1 Ge 2.82
Pm: 0.5000 0.0000 0.0000  4 Ge 3.01
Pm: 0.1010 0.7753 0.2020  4 Ge 2.93-3.09
Pm: 0.8990 0.2247 0.7980  4 Ge 2.93-3.09
Pm: 0.1624 0.3518 0.3248  3 Ge 3.02-3.32
Pm: 0.8376 0.6482 0.6752  3 Ge 3.02-3.32
Ge: 0.9721 0.6770 0.9443  2 Ge 2.53
Ge: 0.0279 0.3230 0.0557  2 Ge 2.53
Ge: 0.6046 0.4934 0.2093  2 Ge 2.53, 1 Tm 2.82
Ge: 0.3954 0.5066 0.7907  2 Ge 2.53, 1 Tm 2.82

=====

4.
Pm5TmGe5: relaxed, PBE-GGA.

Computed properties:
* energy of formation from the pure elements: -0.618 eV/atom
* density: 6.6 g cm⁻³
* raw total energy: -58.11 eV/cell

Cell: 5.9569 7.3897 8.2631 Å, 106.39 90.00 113.77°
Closest atoms and distances in Å follow each position.
Element x y z (fractional)
Ge: 0.8404 0.6808 0.1683  1 Tm 2.91, 5 Pm 2.92-2.99
Ge: 0.8376 0.6752 0.6690  1 Tm 2.93, 5 Pm 2.94-3.02
Ge: 0.5000 0.0000 0.0000  2 Tm 2.98, 4 Pm 2.99
Ge: 0.1596 0.3192 0.8317  1 Tm 2.91, 5 Pm 2.92-2.99
Ge: 0.1624 0.3248 0.3310  1 Tm 2.93, 5 Pm 2.94-3.02
Pm: 0.0000 0.0000 0.5000  4 Ge 2.92-2.94
Pm: 0.6721 0.3442 0.3302  5 Ge 2.98-3.00
Pm: 0.3279 0.6558 0.6698  5 Ge 2.98-3.00
Pm: 0.6691 0.3382 0.8380  5 Ge 2.98-3.02
Pm: 0.3309 0.6618 0.1620  5 Ge 2.98-3.02
Tm: 0.0000 0.0000 0.0000  6 Ge 2.91-2.98

=====

5.
Pm2TmZn2Ge2: relaxed, PBE-GGA.

Computed properties:
* energy of formation from the pure elements: -0.452 eV/atom
* density: 7.2 g cm⁻³
* raw total energy: -28.92 eV/cell

Cell: 4.1564 4.1564 11.5200 Å, 79.61 79.61 60.00°
Closest atoms and distances in Å follow each position.
Element x y z (fractional)
Zn: 0.6043 0.6043 0.1870  3 Ge 2.41
Zn: 0.3957 0.3957 0.8130  3 Ge 2.41
Ge: 0.7225 0.7225 0.8325  3 Zn 2.41
Ge: 0.2775 0.2775 0.1675  3 Zn 2.41
Pm: 0.1209 0.1209 0.6372  3 Zn 3.11, 3 Ge 3.26
Pm: 0.8791 0.8791 0.3628  3 Zn 3.11, 3 Ge 3.26
Tm: 0.0000 0.0000 0.0000  6 Ge 3.05, 6 Zn 3.19

=====

6.
Pm2UGe: relaxed, PBE-GGA.

Computed properties:
* energy of formation from the pure elements: 0.268 eV/atom
* density: 9.5 g cm⁻³
* distance to the lowest polymorph of the same formula: 0.0 meV/atom
* raw total energy: -24.33 eV/cell

Cell: 5.2862 5.2862 5.2862 Å, 60.00 60.00 60.00°
Closest atoms and distances in Å follow each position.
Element x y z (fractional)
Pm: 0.7500 0.7500 0.7500  4 U 3.24, 4 Ge 3.24
Pm: 0.2500 0.2500 0.2500  4 U 3.24, 4 Ge 3.24
Ge: 0.5000 0.5000 0.5000  8 Pm 3.24
U: 0.0000 0.0000 0.0000  8 Pm 3.24

=====

7.
Pm5UGe6: relaxed, PBE-GGA.

Computed properties:
* energy of formation from the pure elements: -0.586 eV/atom
* density: 7.2 g cm⁻³
* raw total energy: -69.78 eV/cell

Cell: 7.2952 7.3496 7.3771 Å, 60.12 80.24 70.11°
Closest atoms and distances in Å follow each position.
Element x y z (fractional)
Pm: 0.5000 0.5000 0.0000  6 Ge 3.00-3.13
Pm: 0.5000 0.8274 0.3451  6 Ge 3.00-3.08
Pm: 0.5000 0.1726 0.6549  6 Ge 3.00-3.08
Pm: 0.0000 0.3340 0.3320  6 Ge 3.00-3.02
Pm: 0.0000 0.6660 0.6680  6 Ge 3.00-3.02
Ge: 0.7612 0.0786 0.3182  1 U 2.86, 5 Pm 3.00-3.08
Ge: 0.2388 0.6032 0.3182  1 U 2.86, 5 Pm 3.00-3.08
Ge: 0.2388 0.9214 0.6818  1 U 2.86, 5 Pm 3.00-3.08
Ge: 0.2427 0.2350 0.0000  1 U 2.86, 5 Pm 3.02-3.13
Ge: 0.7573 0.7650 0.0000  1 U 2.86, 5 Pm 3.02-3.13
Ge: 0.7612 0.3968 0.6818  1 U 2.86, 5 Pm 3.00-3.08
U: 0.0000 0.0000 0.0000  6 Ge 2.86

=====

8.
Pm2UGe: relaxed, PBE-GGA.

Computed properties:
* energy of formation from the pure elements: 0.279 eV/atom
* density: 9.6 g cm⁻³
* distance to the lowest polymorph of the same formula: 11.1 meV/atom
* raw total energy: -24.29 eV/cell

Cell: 3.2217 3.2217 11.6991 Å, 82.09 82.09 60.00°
Closest atoms and distances in Å follow each position.
Element x y z (fractional)
U: 0.0000 0.0000 0.0000  6 U 3.22, 2 Pm 3.26
Pm: 0.0941 0.0941 0.7177  3 Ge 3.13, 6 Pm 3.22, 1 U 3.26
Pm: 0.9059 0.9059 0.2823  3 Ge 3.13, 6 Pm 3.22, 1 U 3.26
Ge: 0.5000 0.5000 0.5000  6 Pm 3.13, 6 Ge 3.22

=====

9.
PmUGe: relaxed, PBE-GGA.

Computed properties:
* energy of formation from the pure elements: -0.248 eV/atom
* density: 10.5 g cm⁻³
* distance to the lowest polymorph of the same formula: 0.0 meV/atom
* raw total energy: -42.80 eV/cell

Cell: 3.9825 7.9167 5.2886 Å, 69.90 67.88 75.43°
Closest atoms and distances in Å follow each position.
Element x y z (fractional)
U: 0.8617 0.0592 0.2175  1 U 2.54
U: 0.1383 0.9408 0.7825  1 U 2.54
Pm: 0.1614 0.4042 0.2729  3 Pm 2.99-3.33, 5 Ge 3.08-3.33
Pm: 0.8386 0.5958 0.7271  3 Pm 2.99-3.33, 5 Ge 3.08-3.33
Ge: 0.5003 0.2417 0.7576  5 U 3.02-3.32, 5 Pm 3.08-3.33
Ge: 0.4997 0.7583 0.2424  5 U 3.02-3.32, 5 Pm 3.08-3.33

=====

10.
PmUGe: relaxed, PBE-GGA.

Computed properties:
* energy of formation from the pure elements: 0.152 eV/atom
* density: 10.3 g cm⁻³
* distance to the lowest polymorph of the same formula: 399.5 meV/atom
* raw total energy: -20.20 eV/cell

Cell: 3.2588 5.1119 5.1119 Å, 120.00 90.00 90.00°
Closest atoms and distances in Å follow each position.
Element x y z (fractional)
Pm: 0.7163 0.3333 0.6667  3 Ge 3.11, 2 Pm 3.26, 6 U 3.29-3.46
Ge: 0.0124 0.0000 0.0000  3 U 3.07, 3 Pm 3.11, 2 Ge 3.26
U: 0.2713 0.6667 0.3333  3 Ge 3.07, 2 U 3.26, 3 Pm 3.29

=====

11.
PmVGe2: relaxed, PBE-GGA.

Computed properties:
* energy of formation from the pure elements: 0.245 eV/atom
* density: 6.9 g cm⁻³
* distance to the lowest polymorph of the same formula: 671.6 meV/atom
* raw total energy: -22.12 eV/cell

Cell: 3.0532 3.0532 10.2928 Å, 81.47 81.47 60.00°
Closest atoms and distances in Å follow each position.
Element x y z (fractional)
V: 0.5000 0.5000 0.5000  6 Ge 2.69
Ge: 0.8999 0.8999 0.3002  3 V 2.69
Ge: 0.1001 0.1001 0.6998  3 V 2.69
Pm: 0.0000 0.0000 0.0000  2 Ge 3.04, 6 Pm 3.05

=====

12.
PmVGe2: relaxed, PBE-GGA.

Computed properties:
* energy of formation from the pure elements: -0.146 eV/atom
* density: 7.0 g cm⁻³
* distance to the lowest polymorph of the same formula: 280.1 meV/atom
* raw total energy: -23.69 eV/cell

Cell: 4.1513 4.4076 4.4076 Å, 90.00 90.00 90.00°
Closest atoms and distances in Å follow each position.
Element x y z (fractional)
Ge: 0.0000 0.5000 0.0000  4 V 3.03, 4 Pm 3.03, 4 Ge 3.12
Ge: 0.0000 0.0000 0.5000  4 V 3.03, 4 Pm 3.03, 4 Ge 3.12
Pm: 0.5000 0.0000 0.0000  8 Ge 3.03, 4 V 3.12
V: 0.5000 0.5000 0.5000  8 Ge 3.03, 4 Pm 3.12